1.
The following is a DFT calculation (PBE-GGA) of a relaxed structure of Rb2NpCuI6.

## Properties
Total moment = 8.0 μB per cell
Formation energy (no corrections) = -0.933 eV/atom
Energy = -3.7603 eV per atom
Calculated volume = 920.0 Å³ per cell

Cell: 8.806 9.791 13.831 Å, 90.00 129.50 90.00°
Space group P2_1/c (No. 14)
Symmetry-distinct sites (fractional):
Rb: 0.219 0.094 0.246 (multiplicity 4)
Np: 0.000 0.000 0.500 (multiplicity 2)
Cu: 0.500 0.000 0.000 (multiplicity 2)
I: 0.118 0.226 0.952 (multiplicity 4)
I: 0.241 0.665 0.948 (multiplicity 4)
I: 0.390 0.031 0.787 (multiplicity 4)



2.
The following is a DFT calculation (PBE-GGA) of a relaxed structure of Tb6Pm2Tm3Pu.

## Properties
Total moment = 12.7 μB per cell
Energy = -5.3695 eV per atom
Calculated volume = 754.1 Å³ per cell
DFT formation energy = 0.050 eV per atom

Cell: 6.141 10.647 11.715 Å, 90.00 100.11 90.00°
Space group C2/m (No. 12)
Symmetry-distinct sites (fractional):
Tb: 0.245 0.000 0.248 (multiplicity 4)
Tb: 0.249 0.165 0.752 (multiplicity 8)
Pm: 0.000 0.333 0.500 (multiplicity 4)
Tm: 0.000 0.167 0.000 (multiplicity 4)
Tm: 0.000 0.500 0.000 (multiplicity 2)
Pu: 0.000 0.000 0.500 (multiplicity 2)



3.
The following is a DFT calculation (PBE-GGA) of a relaxed structure of Ac4CoNiCl2.

## Properties
Total moment = 0.0 μB per cell
Formation energy (no corrections) = -0.906 eV/atom
Energy = -5.0328 eV per atom
Calculated volume = 248.8 Å³ per cell

Cell: 7.402 4.224 8.350 Å, 90.00 107.64 90.00°
Space group P2/m (No. 10)
Symmetry-distinct sites (fractional):
Ac: 0.227 0.000 0.199 (multiplicity 2)
Ac: 0.262 0.500 0.801 (multiplicity 2)
Co: 0.000 0.500 0.000 (multiplicity 1)
Ni: 0.500 0.000 0.000 (multiplicity 1)
Cl: 0.000 0.000 0.500 (multiplicity 1)
Cl: 0.500 0.500 0.500 (multiplicity 1)



4.
The following is a DFT calculation (PBE-GGA) of a relaxed structure of NbCoS2N.

## Properties
Total moment = 2.9 μB per cell
Formation energy (no corrections) = 0.417 eV/atom
Energy = -6.3337 eV per atom
Calculated volume = 93.6 Å³ per cell

Cell: 4.925 4.925 3.861 Å, 90.00 90.00 90.00°
Space group P4/mmm (No. 123)
Symmetry-distinct sites (fractional):
Nb: 0.000 0.000 0.000 (multiplicity 1)
Co: 0.500 0.500 0.500 (multiplicity 1)
S: 0.000 0.500 0.000 (multiplicity 2)
N: 0.000 0.000 0.500 (multiplicity 1)



5.
The following is a DFT calculation (PBE-GGA) of a relaxed structure of LaTl.

## Properties
Total moment = 0.9 μB per cell
Energy = -4.0090 eV per atom
Calculated volume = 262.9 Å³ per cell
DFT formation energy = -0.362 eV per atom

Cell: 4.077 12.651 5.097 Å, 90.00 90.00 90.00°
Space group Cmcm (No. 63)
Symmetry-distinct sites (fractional):
La: 0.000 0.147 0.250 (multiplicity 4)
Tl: 0.000 0.417 0.250 (multiplicity 4)



6.
The following is a DFT calculation (PBE-GGA) of a relaxed structure of B2HRh.

## Properties
Total moment = 0.0 μB per cell
Energy = -4.9436 eV per atom
Calculated volume = 131.2 Å³ per cell

Cell: 5.082 5.082 5.082 Å, 90.00 90.00 90.00°
Space group Fm-3m (No. 225)
Symmetry-distinct sites (fractional):
B: 0.250 0.250 0.250 (multiplicity 8)
H: 0.000 0.000 0.000 (multiplicity 4)
Rh: 0.000 0.000 0.500 (multiplicity 4)



7.
The following is a DFT calculation (PBE-GGA) of a relaxed structure of LaAlO3.

## Properties
Total moment = 0.0 μB per cell
Formation energy (no corrections) = -3.226 eV/atom
Energy = -7.9353 eV per atom
Calculated volume = 424.7 Å³ per cell

Cell: 6.833 7.915 8.095 Å, 103.20 91.84 93.93°
Space group P-1 (No. 2)
Symmetry-distinct sites (fractional):
La: 0.069 0.252 0.025 (multiplicity 2)
La: 0.284 0.406 0.619 (multiplicity 2)
La: 0.369 0.916 0.686 (multiplicity 2)
Al: 0.152 0.981 0.299 (multiplicity 2)
Al: 0.181 0.605 0.303 (multiplicity 2)
Al: 0.416 0.724 0.036 (multiplicity 2)
O: 0.022 0.423 0.304 (multiplicity 2)
O: 0.041 0.787 0.341 (multiplicity 2)
O: 0.043 0.946 0.809 (multiplicity 2)
O: 0.227 0.574 0.081 (multiplicity 2)
O: 0.314 0.095 0.465 (multiplicity 2)
O: 0.315 0.927 0.125 (multiplicity 2)
O: 0.354 0.250 0.852 (multiplicity 2)
O: 0.375 0.633 0.455 (multiplicity 2)
O: 0.427 0.684 0.815 (multiplicity 2)



8.
The following is a DFT calculation (PBE-GGA) of a relaxed structure of Nd4SmTm7.

## Properties
Total moment = 0.0 μB per cell
Energy = -4.3276 eV per atom
Calculated volume = 799.7 Å³ per cell
DFT formation energy = 0.263 eV per atom

Cell: 12.100 5.862 12.755 Å, 90.00 117.88 90.00°
Space group C2/m (No. 12)
Symmetry-distinct sites (fractional):
Nd: 0.137 0.000 0.277 (multiplicity 4)
Nd: 0.221 0.500 0.165 (multiplicity 4)
Sm: 0.000 0.500 0.500 (multiplicity 2)
Tm: 0.000 0.000 0.500 (multiplicity 2)
Tm: 0.070 0.500 0.813 (multiplicity 4)
Tm: 0.132 0.000 0.995 (multiplicity 4)
Tm: 0.211 0.500 0.423 (multiplicity 4)



9.
The following is a DFT calculation (PBE-GGA) of a relaxed structure of Ta2InCu.

## Properties
Total moment = 0.0 μB per cell
Energy = -7.4311 eV per atom
Calculated volume = 141.3 Å³ per cell
DFT formation energy = 0.204 eV per atom

Cell: 10.255 2.935 5.118 Å, 90.00 113.44 90.00°
Space group Cm (No. 8)
Symmetry-distinct sites (fractional):
Ta: 0.000 0.000 0.000 (multiplicity 2)
Ta: 0.247 0.000 0.894 (multiplicity 2)
In: 0.269 0.500 0.407 (multiplicity 2)
Cu: 0.015 0.500 0.498 (multiplicity 2)



10.
The following is a DFT calculation (PBE-GGA) of a relaxed structure of FePtW3.

## Properties
Total moment = 0.0 μB per cell
Energy = -9.4956 eV per atom
Calculated volume = 86.3 Å³ per cell
DFT formation energy = 1.177 eV per atom

Cell: 4.419 4.419 4.419 Å, 90.00 90.00 90.00°
Space group Pm-3m (No. 221)
Symmetry-distinct sites (fractional):
Fe: 0.000 0.000 0.000 (multiplicity 1)
Pt: 0.500 0.500 0.500 (multiplicity 1)
W: 0.000 0.000 0.500 (multiplicity 3)